VASP calculation (GGA-PBE) on a geometry-optimized Ca2AgGe4Au3 structure.

Results
Calculated volume, A^3/atom: 21.26
Space group: P-4m2
VASP energy, eV per atom: -3.92

a = 4.3874 Å, b = 4.3874 Å, c = 11.0457 Å
α = 90.00°, β = 90.00°, γ = 90.00°
With the nearest neighbours (Å) after each atom.
Element x y z (fractional)
Ca  0.5000  0.0000  0.2592  8 Ge 3.31-3.61, 6 Au 3.38-3.45, 2 Ag 3.45
Ca  0.0000  0.5000  0.7408  8 Ge 3.31-3.61, 6 Au 3.38-3.45, 2 Ag 3.45
Ag  0.5000  0.5000  0.5000  4 Ge 2.66
Ge  0.5000  0.5000  0.0000  4 Au 2.66
Ge  0.0000  0.0000  0.0000  4 Au 2.66
Ge  0.5000  0.0000  0.6366  3 Au 2.50-2.66, 2 Ag 2.66
Ge  0.0000  0.5000  0.3634  3 Au 2.50-2.66, 2 Ag 2.66
Au  0.0000  0.0000  0.5000  4 Ge 2.66
Au  0.5000  0.0000  0.8633  5 Ge 2.50-2.66
Au  0.0000  0.5000  0.1367  5 Ge 2.50-2.66